(1)
The following is a PBE calculation of Tb2Pr5Y2 after structural relaxation, from the Alexandria database.

a = 15.505 Å, b = 5.166 Å, c = 8.165 Å
α = 90.00°, β = 108.59°, γ = 90.00°
Space group C2/m (No. 12)
Symmetry-distinct sites (fractional):
Tb (0.110, 0.000, 0.165)
Pr (0.000, 0.000, 0.500)
Pr (0.166, 0.500, 0.501)
Pr (0.223, 0.000, 0.835)
Y (0.055, 0.500, 0.837)

Computed properties:
Total magnetization: 0.000 μB/atom
E_tot: -91.86 eV per cell
E_form: 17 meV/atom
Distance to the lowest polymorph of the same formula: 0 meV per atom
Fermi-level density of states: 1.47 states/eV per atom

***

(2)
The following is a PBE calculation of AlCdMo after structural relaxation, from the Alexandria database.

a = 2.812 Å, b = 2.812 Å, c = 13.299 Å
α = 90.00°, β = 90.00°, γ = 90.00°
Space group I4mm (No. 107)
Symmetry-distinct sites (fractional):
Al (0.000, 0.000, 0.000)
Cd (0.000, 0.000, 0.681)
Mo (0.000, 0.000, 0.355)

Computed properties:
Total magnetization: 0.000 μB/atom
E_tot: -29.59 eV per cell
E_form: 231 meV/atom
Distance to the lowest polymorph of the same formula: 13 meV per atom
Fermi-level density of states: 0.80 states/eV per atom

***

(3)
The following is a PBE calculation of Mg3Al11 after structural relaxation, from the Alexandria database.

a = 4.242 Å, b = 10.914 Å, c = 11.315 Å
α = 90.00°, β = 90.00°, γ = 90.00°
Space group Immm (No. 71)
Symmetry-distinct sites (fractional):
Mg (0.000, 0.000, 0.000)
Mg (0.000, 0.000, 0.284)
Al (0.000, 0.161, 0.500)
Al (0.000, 0.282, 0.152)
Al (0.000, 0.376, 0.371)
Al (0.000, 0.500, 0.000)

Computed properties:
Total magnetization: 0.000 μB/atom
E_tot: -90.53 eV per cell
E_form: 49 meV/atom
Fermi-level density of states: 0.46 states/eV per atom